1.
Compound: Dy2ScPaSe4
Source: Alexandria
Functional: GGA-PBE
Structure: optimized geometry

```
Dy2ScPaSe4
1.0
6.959 0.000 0.000
0.000 3.985 0.000
-2.273 0.000 6.665
Dy Sc Pa Se
2 1 1 4
Cartesian
0.000 0.000 0.000
-1.137 1.993 3.332
2.343 0.000 3.332
3.479 1.993 0.000
0.068 0.000 4.941
1.212 1.993 1.741
3.474 1.993 4.924
4.617 0.000 1.724
```

Properties
The value obtained for the electronic total energy is -6.418 eV per atom. The raw formation energy comes out at -1.55 eV/atom.

---

2.
Compound: Dy3Sc2PaSe6
Source: Alexandria
Functional: GGA-PBE
Structure: optimized geometry

```
Dy3Sc2PaSe6
1.0
8.741 -1.986 0.000
8.741 1.986 0.000
-1.812 0.000 7.896
Dy Sc Pa Se
3 2 1 6
Cartesian
0.000 0.000 0.000
4.692 0.000 5.274
10.979 0.000 2.622
5.593 0.000 1.408
10.078 0.000 6.488
-0.906 0.000 3.948
1.899 0.000 4.683
2.884 0.000 0.576
8.237 0.000 1.916
7.434 0.000 5.980
12.786 0.000 7.320
13.772 0.000 3.213
```

Properties
The value obtained for the electronic total energy is -6.327 eV per atom. The raw formation energy comes out at -1.59 eV/atom.

---

3.
Compound: DyThScPa
Source: Alexandria
Functional: GGA-PBE
Structure: optimized geometry

```
DyThScPa
1.0
0.000 3.845 3.845
3.845 0.000 3.845
3.845 3.845 0.000
Dy Th Sc Pa
1 1 1 1
Cartesian
0.000 0.000 0.000
5.767 5.767 5.767
1.922 1.922 1.922
3.845 3.845 3.845
```

Properties
The value obtained for the electronic total energy is -6.628 eV per atom. Its energy of formation is 0.334 eV per atom.

---

4.
Compound: DyTmScPa
Source: Alexandria
Functional: GGA-PBE
Structure: optimized geometry

```
DyTmScPa
1.0
0.000 3.820 3.820
3.820 0.000 3.820
3.820 3.820 0.000
Dy Tm Sc Pa
1 1 1 1
Cartesian
0.000 0.000 0.000
5.729 5.729 5.729
3.820 3.820 3.820
1.910 1.910 1.910
```

Properties
The value obtained for the electronic total energy is -5.931 eV per atom. Its energy of formation is 0.294 eV per atom.

---

5.
Compound: DyPaSe2
Source: Alexandria
Functional: GGA-PBE
Structure: optimized geometry

```
DyPaSe2
1.0
4.992 0.000 0.000
0.000 4.992 0.000
0.000 0.000 3.553
Dy Pa Se
1 1 2
Cartesian
0.000 0.000 0.000
2.496 2.496 0.000
0.000 2.496 1.777
2.496 0.000 1.777
```

Properties
The value obtained for the electronic total energy is -6.490 eV per atom. The raw formation energy comes out at -1.22 eV/atom. The energy above the most stable polymorph in this dataset is 253 meV/atom.

---

6.
Compound: Dy2Pa3Se8
Source: Alexandria
Functional: GGA-PBE
Structure: optimized geometry

```
Dy2Pa3Se8
1.0
7.360 -4.050 0.000
7.360 4.050 0.000
-1.981 0.000 6.466
Dy Pa Se
2 3 8
Cartesian
3.273 0.000 1.094
9.466 0.000 5.372
6.369 1.954 3.233
7.360 0.000 0.000
6.369 -1.954 3.233
0.799 0.000 2.552
5.326 1.974 0.542
4.284 0.000 3.766
7.413 1.974 5.924
5.326 -1.974 0.542
8.455 0.000 2.701
7.413 -1.974 5.924
11.940 0.000 3.914
```

Properties
The value obtained for the electronic total energy is -6.483 eV per atom. The raw formation energy comes out at -1.44 eV/atom.